Entry 1:
TiCdN2O: single point on PBEsol structure, meta-GGA SCAN.

Values from the calculation:
**Uncorrected formation energy**: 1.066 eV per atom
**Total magnetic moment**: 0.294 μB/cell
**Uncorrected energy**: -65.93 eV/cell

a b c (Å): 4.0173 4.0173 3.9403
angles (deg): 90.00 90.00 90.00
Positions (direct):
Ti  0.0000  0.0000  0.0000
Cd  0.5000  0.5000  0.5000
N  0.0000  0.5000  0.5000
N  0.5000  0.0000  0.5000
O  0.5000  0.5000  0.0000

Entry 2:
TlCdN2O: single point on PBEsol structure, meta-GGA SCAN.

Values from the calculation:
**Uncorrected formation energy**: 1.481 eV per atom
**Total magnetic moment**: 2.806 μB/cell
**Uncorrected energy**: -120.18 eV/cell

a b c (Å): 4.2672 4.2672 4.2591
angles (deg): 90.00 90.00 90.00
Positions (direct):
Tl  0.0000  0.0000  0.0000
Cd  0.5000  0.5000  0.5000
N  0.0000  0.5000  0.0000
N  0.5000  0.0000  0.0000
O  0.0000  0.0000  0.5000

Entry 3:
ZnCdN2O: single point on PBEsol structure, meta-GGA SCAN.

Values from the calculation:
**Uncorrected formation energy**: 0.904 eV per atom
**Total magnetic moment**: 3.343 μB/cell
**Uncorrected energy**: -64.22 eV/cell

a b c (Å): 3.8698 3.8698 3.9627
angles (deg): 90.00 90.00 90.00
Positions (direct):
Zn  0.0000  0.0000  0.0000
Cd  0.5000  0.5000  0.5000
N  0.0000  0.5000  0.0000
N  0.5000  0.0000  0.0000
O  0.0000  0.0000  0.5000